# 1
Density functional theory data (PBE-GGA) for a relaxed structure of Cs2MgTl2In. Values from VASP.

Structure (Quantum ESPRESSO input):
```
&SYSTEM
  ibrav = 0, nat = 12, ntyp = 4
/
ATOMIC_SPECIES
Cs 132.91 Cs.upf
Mg 24.30 Mg.upf
Tl 204.38 Tl.upf
In 114.82 In.upf
ATOMIC_POSITIONS crystal
Cs 0.069 0.589 0.829
Cs 0.411 0.931 0.671
Cs 0.589 0.069 0.329
Cs 0.931 0.411 0.171
Mg 0.500 0.500 0.250
Mg 0.500 0.500 0.750
Tl 0.168 0.653 0.410
Tl 0.347 0.832 0.090
Tl 0.653 0.168 0.910
Tl 0.832 0.347 0.590
In 0.000 0.000 0.250
In 0.000 0.000 0.750
CELL_PARAMETERS angstrom
9.982 -3.649 0.000
9.982 3.649 0.000
-2.677 0.000 6.811
```

Computed properties:
* crystal system: monoclinic
* symmetry: No. 15
* ΔE_f: -79 meV per atom

---

# 2
Density functional theory data (PBE-GGA) for a relaxed structure of CuHRu2F. Values from VASP.

Structure (Quantum ESPRESSO input):
```
&SYSTEM
  ibrav = 0, nat = 5, ntyp = 4
/
ATOMIC_SPECIES
Cu 63.55 Cu.upf
H 1.01 H.upf
Ru 101.07 Ru.upf
F 19.00 F.upf
ATOMIC_POSITIONS crystal
Cu 0.000 0.000 0.000
H 0.500 0.500 0.000
Ru 0.000 0.500 0.500
Ru 0.500 0.000 0.500
F 0.500 0.500 0.500
CELL_PARAMETERS angstrom
4.997 0.000 0.000
0.000 4.997 0.000
0.000 0.000 2.429
```

Computed properties:
* total energy: -0.180 Ha/atom
* crystal system: tetragonal
* symmetry: No. 123

---

# 3
Density functional theory data (PBE-GGA) for a relaxed structure of BeReAg2. Values from VASP.

Structure (Quantum ESPRESSO input):
```
&SYSTEM
  ibrav = 0, nat = 16, ntyp = 3
/
ATOMIC_SPECIES
Be 9.01 Be.upf
Re 186.21 Re.upf
Ag 107.87 Ag.upf
ATOMIC_POSITIONS crystal
Be 0.000 0.000 0.000
Be 0.000 0.500 0.250
Be 0.500 0.000 0.750
Be 0.500 0.500 0.500
Re 0.000 0.000 0.500
Re 0.000 0.500 0.750
Re 0.500 0.000 0.250
Re 0.500 0.500 0.000
Ag 0.247 0.250 0.125
Ag 0.250 0.747 0.375
Ag 0.250 0.753 0.875
Ag 0.253 0.250 0.625
Ag 0.747 0.750 0.625
Ag 0.750 0.247 0.875
Ag 0.750 0.253 0.375
Ag 0.753 0.750 0.125
CELL_PARAMETERS angstrom
3.616 0.000 0.000
0.000 3.616 0.000
0.000 0.000 19.490
```

Computed properties:
* crystal system: tetragonal
* symmetry: No. 122
* ΔE_f: 970 meV per atom

---

# 4
Density functional theory data (PBE-GGA) for a relaxed structure of DyHo2Pb3. Values from VASP.

Structure (Quantum ESPRESSO input):
```
&SYSTEM
  ibrav = 0, nat = 12, ntyp = 3
/
ATOMIC_SPECIES
Dy 162.50 Dy.upf
Ho 164.93 Ho.upf
Pb 207.20 Pb.upf
ATOMIC_POSITIONS crystal
Dy 0.125 0.875 0.750
Dy 0.875 0.125 0.250
Ho 0.209 0.458 0.917
Ho 0.458 0.209 0.417
Ho 0.542 0.791 0.583
Ho 0.791 0.542 0.083
Pb 0.043 0.291 0.584
Pb 0.291 0.043 0.084
Pb 0.375 0.625 0.250
Pb 0.625 0.375 0.750
Pb 0.709 0.957 0.916
Pb 0.957 0.709 0.416
CELL_PARAMETERS angstrom
8.440 -3.194 0.000
8.440 3.194 0.000
-1.204 0.000 6.275
```

Computed properties:
* crystal system: monoclinic
* symmetry: No. 15
* ΔE_f: -489 meV per atom

---

# 5
Density functional theory data (PBE-GGA) for a relaxed structure of Pm6Er2Tm5. Values from VASP.

Structure (Quantum ESPRESSO input):
```
&SYSTEM
  ibrav = 0, nat = 26, ntyp = 3
/
ATOMIC_SPECIES
Pm 145.00 Pm.upf
Er 167.26 Er.upf
Tm 168.93 Tm.upf
ATOMIC_POSITIONS crystal
Pm 0.060 0.080 0.000
Pm 0.084 0.367 0.000
Pm 0.172 0.634 0.500
Pm 0.328 0.134 0.500
Pm 0.416 0.867 0.000
Pm 0.440 0.580 0.000
Pm 0.560 0.420 0.000
Pm 0.584 0.133 0.000
Pm 0.672 0.866 0.500
Pm 0.828 0.366 0.500
Pm 0.916 0.633 0.000
Pm 0.940 0.920 0.000
Er 0.164 0.790 0.000
Er 0.336 0.290 0.000
Er 0.664 0.710 0.000
Er 0.836 0.210 0.000
Tm 0.000 0.500 0.500
Tm 0.094 0.226 0.500
Tm 0.198 0.945 0.500
Tm 0.302 0.445 0.500
Tm 0.406 0.726 0.500
Tm 0.500 0.000 0.500
Tm 0.594 0.274 0.500
Tm 0.698 0.555 0.500
Tm 0.802 0.055 0.500
Tm 0.906 0.774 0.500
CELL_PARAMETERS angstrom
11.617 0.000 0.000
0.000 20.351 0.000
0.000 0.000 3.595
```

Computed properties:
* crystal system: orthorhombic
* symmetry: No. 55
* ΔE_f: 105 meV per atom

---

# 6
Density functional theory data (PBE-GGA) for a relaxed structure of TbSm5Dy4. Values from VASP.

Structure (Quantum ESPRESSO input):
```
&SYSTEM
  ibrav = 0, nat = 10, ntyp = 3
/
ATOMIC_SPECIES
Tb 158.93 Tb.upf
Sm 150.36 Sm.upf
Dy 162.50 Dy.upf
ATOMIC_POSITIONS crystal
Tb 0.000 0.000 0.000
Sm 0.000 0.000 0.500
Sm 0.200 0.600 0.600
Sm 0.400 0.200 0.198
Sm 0.600 0.800 0.802
Sm 0.800 0.400 0.400
Dy 0.200 0.601 0.100
Dy 0.400 0.201 0.702
Dy 0.600 0.799 0.298
Dy 0.800 0.399 0.900
CELL_PARAMETERS angstrom
3.585 0.000 0.000
1.790 9.313 0.000
0.009 2.777 9.754
```

Computed properties:
* relative energy among the computed polymorphs: 0.0 kJ per mole of atoms
* crystal system: triclinic
* symmetry: No. 2
* ΔE_f: 15 meV per atom

---

# 7
Density functional theory data (PBE-GGA) for a relaxed structure of SmSc6Se8. Values from VASP.

Structure (Quantum ESPRESSO input):
```
&SYSTEM
  ibrav = 0, nat = 15, ntyp = 3
/
ATOMIC_SPECIES
Sm 150.36 Sm.upf
Sc 44.96 Sc.upf
Se 78.96 Se.upf
ATOMIC_POSITIONS crystal
Sm 0.000 0.000 0.000
Sc 0.000 0.000 0.500
Sc 0.000 0.500 0.000
Sc 0.000 0.500 0.500
Sc 0.500 0.000 0.000
Sc 0.500 0.000 0.500
Sc 0.500 0.500 0.000
Se 0.250 0.250 0.250
Se 0.264 0.264 0.736
Se 0.264 0.736 0.264
Se 0.264 0.736 0.736
Se 0.736 0.264 0.264
Se 0.736 0.264 0.736
Se 0.736 0.736 0.264
Se 0.750 0.750 0.750
CELL_PARAMETERS angstrom
0.000 5.490 5.490
5.490 0.000 5.490
5.490 5.490 0.000
```

Computed properties:
* crystal system: cubic
* symmetry: No. 225
* ΔE_f (raw): -1.68 eV/atom

---

# 8
Density functional theory data (PBE-GGA) for a relaxed structure of Er2ThIn. Values from VASP.

Structure (Quantum ESPRESSO input):
```
&SYSTEM
  ibrav = 0, nat = 4, ntyp = 3
/
ATOMIC_SPECIES
Er 167.26 Er.upf
Th 232.04 Th.upf
In 114.82 In.upf
ATOMIC_POSITIONS crystal
Er 0.000 0.500 0.000
Er 0.500 0.000 0.000
Th 0.000 0.000 0.500
In 0.500 0.500 0.500
CELL_PARAMETERS angstrom
4.893 0.000 0.000
0.000 4.893 0.000
0.000 0.000 4.783
```

Computed properties:
* relative energy among the computed polymorphs: 4.1 kJ per mole of atoms
* crystal system: tetragonal
* symmetry: No. 123
* ΔE_f: -203 meV per atom

---

# 9
Density functional theory data (PBE-GGA) for a relaxed structure of IrAuNF. Values from VASP.

Structure (Quantum ESPRESSO input):
```
&SYSTEM
  ibrav = 0, nat = 4, ntyp = 4
/
ATOMIC_SPECIES
Ir 192.22 Ir.upf
Au 196.97 Au.upf
N 14.01 N.upf
F 19.00 F.upf
ATOMIC_POSITIONS crystal
Ir 0.000 0.000 0.000
Au 0.204 0.435 0.435
N 0.388 0.164 0.163
F 0.077 0.730 0.730
CELL_PARAMETERS angstrom
2.836 0.000 0.000
0.949 4.712 0.000
0.970 1.377 4.504
```

Computed properties:
* relative energy among the computed polymorphs: 20.9 kJ per mole of atoms
* crystal system: triclinic
* symmetry: No. 1
* ΔE_f (raw): 0.13 eV/atom

---

# 10
Density functional theory data (PBE-GGA) for a relaxed structure of Sr2CdHg4. Values from VASP.

Structure (Quantum ESPRESSO input):
```
&SYSTEM
  ibrav = 0, nat = 14, ntyp = 3
/
ATOMIC_SPECIES
Sr 87.62 Sr.upf
Cd 112.41 Cd.upf
Hg 200.59 Hg.upf
ATOMIC_POSITIONS crystal
Sr 0.000 0.000 0.128
Sr 0.000 0.000 0.872
Sr 0.500 0.500 0.372
Sr 0.500 0.500 0.628
Cd 0.000 0.000 0.500
Cd 0.500 0.500 0.000
Hg 0.000 0.000 0.322
Hg 0.000 0.000 0.678
Hg 0.000 0.500 0.000
Hg 0.000 0.500 0.500
Hg 0.500 0.000 0.000
Hg 0.500 0.000 0.500
Hg 0.500 0.500 0.178
Hg 0.500 0.500 0.822
CELL_PARAMETERS angstrom
5.434 0.000 0.000
0.000 5.434 0.000
0.000 0.000 16.804
```

Computed properties:
* relative energy among the computed polymorphs: 14.8 kJ per mole of atoms
* crystal system: tetragonal
* symmetry: No. 139
* ΔE_f: -199 meV per atom

---

# 11
Density functional theory data (PBE-GGA) for a relaxed structure of CsEr2VCl8. Values from VASP.

Structure (Quantum ESPRESSO input):
```
&SYSTEM
  ibrav = 0, nat = 12, ntyp = 4
/
ATOMIC_SPECIES
Cs 132.91 Cs.upf
Er 167.26 Er.upf
V 50.94 V.upf
Cl 35.45 Cl.upf
ATOMIC_POSITIONS crystal
Cs 0.000 0.000 0.000
Er 0.197 0.197 0.197
Er 0.803 0.803 0.803
V 0.500 0.500 0.500
Cl 0.156 0.817 0.390
Cl 0.183 0.610 0.844
Cl 0.293 0.293 0.293
Cl 0.390 0.156 0.817
Cl 0.610 0.844 0.183
Cl 0.707 0.707 0.707
Cl 0.817 0.390 0.156
Cl 0.844 0.183 0.610
CELL_PARAMETERS angstrom
3.473 2.005 8.721
-3.473 2.005 8.721
0.000 -4.010 8.721
```

Computed properties:
* crystal system: trigonal
* symmetry: No. 148
* ΔE_f (raw): -1.81 eV/atom

---

| no. | D(E_F) (states/eV/f.u.) |
| --- | --- |
| 1 | 3.53 |
| 2 | 5.15 |
| 3 | 2.82 |
| 4 | 2.53 |
| 5 | 15.64 |
| 6 | 12.80 |
| 7 | 7.29 |
| 8 | 5.36 |
| 9 | 0.86 |
| 10 | 2.90 |
| 11 | 6.34 |